# 1
The following is a DFT calculation (GGA-PBE) of crystalline TaNbS2 at its relaxed geometry.

The structure belongs to space group Pnma (No. 62); the cell edges are 5.712, 3.299 and 14.211 Å and the angles 90.00°, 90.00° and 90.00°. Symmetry generates all atoms from Ta at (0.063, 0.250, 0.085), Nb at (0.082, 0.250, 0.307), S at (0.232, 0.750, 0.432) and S at (0.248, 0.250, 0.690).

As for the energy relative to the lowest polymorph listed for this composition: 0 meV per atom.


# 2
The following is a DFT calculation (GGA-PBE) of crystalline KSbIr2 at its relaxed geometry.

The structure belongs to space group Imm2 (No. 44); the cell edges are 2.876, 5.487 and 10.856 Å and the angles 90.00°, 90.00° and 90.00°. Symmetry generates all atoms from K at (0.000, 0.000, 0.000), Sb at (0.000, 0.500, 0.210), Ir at (0.000, 0.000, 0.498) and Ir at (0.000, 0.500, 0.800).


Number 1: formation energy (no corrections) -0.8497 eV per atom, electronic total energy -8.394 eV/atom. Number 2: formation energy (no corrections) 0.4754 eV per atom, electronic total energy -5.260 eV/atom.